1.
SiTc2Os | SCAN | PBEsol geometry

* formation energy without anion corrections: -256.7 meV per atom
* space-group type: Imm2 (44)

abc: 2.8746 4.3275 5.0293
angles: 115.48 106.61 90.00
Fractional coordinates of all 4 atoms:
Os 0.5237 0.0237 0.0475
Si 0.2491 0.2491 0.4982
Tc 0.9760 0.4760 0.9519
Tc 0.7512 0.7512 0.5024



2.
SiTc3Os | SCAN | PBEsol geometry

* formation energy without anion corrections: 1911.2 meV per atom
* space-group type: Pm-3m (221)

abc: 4.6112 4.6112 4.6112
angles: 90.00 90.00 90.00
Site moments in Bohr magnetons follow the coordinates.
Fractional coordinates of all 5 atoms:
Si 0.5000 0.5000 0.5000  -0.06
Os 0.0000 0.0000 0.0000  -0.12
Tc 0.0000 0.5000 0.0000  1.31
Tc 0.0000 0.0000 0.5000  1.31
Tc 0.5000 0.0000 0.0000  1.31



3.
SiTc2Os | SCAN | PBEsol geometry

* formation energy without anion corrections: -69.4 meV per atom
* space-group type: R-3m (166)

abc: 2.7333 2.7333 8.5566
angles: 80.81 80.81 60.00
Fractional coordinates of all 4 atoms:
Os 0.5000 0.5000 0.5000
Si 0.0000 0.0000 0.0000
Tc 0.2527 0.2527 0.2420
Tc 0.7473 0.7473 0.7580



4.
SiTc2Os | SCAN | PBEsol geometry

* formation energy without anion corrections: -166.0 meV per atom
* space-group type: Amm2 (38)

abc: 2.7581 3.9432 5.1978
angles: 90.00 105.39 90.00
Fractional coordinates of all 4 atoms:
Os 0.6862 0.0000 0.3725
Si 0.5486 0.5000 0.0972
Tc 0.9503 0.0000 0.9006
Tc 0.3037 0.5000 0.6075



no.,spin magnetization (μB/f.u.),N(E_F) (states/eV per cell)
1,0.00,2.8
2,3.75,4.4
3,0.00,4.0
4,0.00,3.2